Entry from the Alexandria database: PmSm2Ga6 after structural relaxation (GGA-PBE).

## Properties
- magnetic moment (μB per atom) = 0.0000
- energy relative to the lowest polymorph listed for this composition (eV per atom) = 0.0000
- ΔH_f (0 K) (eV/atom) = -0.68
- calculated density (g/cm3) = 7.19
- calculated volume (Å³ per cell) = 200

a b c (Å): 7.367 7.367 4.245
angles (deg): 90.00 90.00 120.00
Sites, in units of the cell vectors:
Pm 0.000 0.000 0.000
Sm 0.333 0.667 0.000
Sm 0.667 0.333 0.000
Ga 0.000 0.334 0.500
Ga 0.000 0.666 0.500
Ga 0.334 0.000 0.500
Ga 0.334 0.334 0.500
Ga 0.666 0.000 0.500
Ga 0.666 0.666 0.500